Material: Pr7DySc2
Method: DFT, PBE
State: optimized geometry

Structure (POSCAR):
```
Pr7DySc2
1.0
4.5426 -7.8090 0.0000
4.5426 7.8090 0.0000
0.0000 0.0000 5.6286
Pr Dy Sc
7 1 2
Cartesian
0.0000 0.0000 0.0000
2.8799 1.8918 0.0000
4.5426 3.8871 2.8143
2.8799 -1.8918 0.0000
6.2053 1.8918 0.0000
4.5426 -3.8871 2.8143
6.2053 -1.8918 0.0000
4.5426 0.0000 2.8143
4.5426 4.6520 0.0000
4.5426 -4.6520 0.0000
```

Properties
Crystal system: orthorhombic
Space group: Cmmm (65)
V: 39.93 Å³ per atom
Energy relative to the elements: 5.859 eV/f.u.
Magnetic moment: 0.00 μB/f.u.

=====

Material: Fe8Tc
Method: DFT, PBE
State: optimized geometry

Structure (POSCAR):
```
Fe8Tc
1.0
-3.7538 3.7538 1.7669
3.7538 -3.7538 1.7669
3.7538 3.7538 -1.7669
Fe Tc
8 1
Cartesian
2.5698 0.0000 0.0000
4.9379 0.0000 0.0000
2.4668 2.4668 0.0000
1.2870 -1.2870 1.7669
0.0000 2.5698 0.0000
0.0000 4.9379 0.0000
-1.2870 1.2870 1.7669
1.2870 1.2870 1.7669
0.0000 0.0000 0.0000
```

Properties
Crystal system: tetragonal
Space group: I4/mmm (139)
V: 11.07 Å³ per atom
Energy relative to the elements: 1.218 eV/f.u.
Magnetic moment: 5.94 μB/f.u.

=====

Material: Zn2FeCl
Method: DFT, PBE
State: optimized geometry

Structure (POSCAR):
```
Zn2FeCl
1.0
0.0000 3.2299 3.2299
3.2299 0.0000 3.2299
3.2299 3.2299 0.0000
Zn Fe Cl
2 1 1
Cartesian
0.0000 0.0000 0.0000
1.6149 1.6149 1.6149
4.8448 4.8448 4.8448
3.2299 3.2299 3.2299
```

Properties
Crystal system: cubic
Uncorrected formation energy: 537 meV per atom
Space group: F-43m (216)
V: 16.85 Å³ per atom
Polymorph energy (0 for the lowest one): 0.550 eV per atom
Magnetic moment: 2.84 μB/f.u.

=====

Material: Ac2PmYSe5
Method: DFT, PBE
State: optimized geometry

Structure (POSCAR):
```
Ac2PmYSe5
1.0
5.1496 0.0000 0.0000
0.0000 5.1496 0.0000
0.0000 0.0000 11.0521
Ac Pm Y Se
2 1 1 5
Cartesian
0.0000 0.0000 2.3305
0.0000 0.0000 8.7217
2.5748 2.5748 5.5261
2.5748 2.5748 0.0000
0.0000 0.0000 5.5261
0.0000 2.5748 0.0000
2.5748 0.0000 0.0000
2.5748 2.5748 2.7897
2.5748 2.5748 8.2625
```

Properties
Crystal system: tetragonal
Uncorrected formation energy: -1490 meV per atom
Space group: P4/mmm (123)
V: 32.57 Å³ per atom
Magnetic moment: 0.00 μB/f.u.

=====

Material: LiCdIr
Method: DFT, PBE
State: optimized geometry

Structure (POSCAR):
```
LiCdIr
1.0
4.4930 0.0000 0.0000
-2.2465 3.8911 0.0000
0.0000 0.0000 2.7185
Li Cd Ir
1 1 1
Cartesian
0.0000 0.0000 0.0000
2.2465 1.2970 0.8274
0.0000 2.5941 2.0370
```

Properties
Crystal system: trigonal
Space group: P3m1 (156)
V: 15.84 Å³ per atom
Polymorph energy (0 for the lowest one): 0.000 eV per atom
Energy relative to the elements: -0.049 eV/f.u.
Magnetic moment: 0.33 μB/f.u.

=====

Material: Ni3B2
Method: DFT, PBE
State: optimized geometry

Structure (POSCAR):
```
Ni3B2
1.0
2.5332 1.4625 4.1805
-2.5332 1.4625 4.1805
0.0000 -2.9251 4.1805
Ni B
6 4
Cartesian
-1.6303 0.1014 5.2256
-0.9029 -1.3611 7.3159
0.7273 -1.4625 5.2256
-0.7273 1.4625 7.3159
0.9029 1.3611 5.2256
1.6303 -0.1014 7.3159
0.0000 0.0000 2.2273
0.0000 0.0000 4.0434
0.0000 0.0000 8.4981
0.0000 0.0000 10.3142
```

Properties
Crystal system: trigonal
Space group: R-3c (167)
V: 9.29 Å³ per atom
Energy relative to the elements: -0.648 eV/f.u.
Magnetic moment: 0.00 μB/f.u.

=====

| no. | mass density (Mg/m³) |
| --- | --- |
| 1 | 5.15 |
| 2 | 9.08 |
| 3 | 5.47 |
| 4 | 6.13 |
| 5 | 10.89 |
| 6 | 7.07 |